[1]
Crystalline RbHfSn at its relaxed geometry. Source: OQMD via LeMat-Bulk, functional PBE.

Unit cell a=5.287 b=5.287 c=5.287 alpha=60.00 beta=60.00 gamma=60.00
Positions (direct):
Rb: 0.000 0.000 0.000
Hf: 0.750 0.750 0.750
Sn: 0.250 0.250 0.250

Computed properties:
Distance to the lowest polymorph of the same formula (eV per atom): 0.713
Spin magnetization (μB per atom): 0.057
Uncorrected energy (eV/atom): -3.399



[2]
Crystalline RbHfSn at its relaxed geometry. Source: OQMD via LeMat-Bulk, functional PBE.

Unit cell a=5.300 b=5.300 c=5.300 alpha=60.00 beta=60.00 gamma=60.00
Positions (direct):
Rb: 0.000 0.000 0.000
Hf: 0.500 0.500 0.500
Sn: 0.750 0.750 0.750

Computed properties:
Distance to the lowest polymorph of the same formula (eV per atom): 0.000
Spin magnetization (μB per atom): 0.333
Uncorrected energy (eV/atom): -4.113



[3]
Crystalline Rb2HfSn2 at its relaxed geometry. Source: OQMD via LeMat-Bulk, functional PBE.

Unit cell a=7.468 b=7.468 c=7.468 alpha=135.60 beta=135.60 gamma=64.60
Positions (direct):
Rb: 0.202 0.202 0.000
Rb: 0.798 0.798 0.000
Hf: 0.500 0.500 0.000
Sn: 0.000 0.500 0.500
Sn: 0.500 0.000 0.500

Computed properties:
Spin magnetization (μB per atom): 0.084
Uncorrected energy (eV/atom): -3.843



[4]
Crystalline RbSrHf at its relaxed geometry. Source: OQMD via LeMat-Bulk, functional PBE.

Unit cell a=6.098 b=6.098 c=6.098 alpha=60.00 beta=60.00 gamma=60.00
Positions (direct):
Rb: 0.000 0.000 0.000
Sr: 0.750 0.750 0.750
Hf: 0.500 0.500 0.500

Computed properties:
Distance to the lowest polymorph of the same formula (eV per atom): 0.000
Spin magnetization (μB per atom): 1.127
Uncorrected energy (eV/atom): -2.570



[5]
Crystalline RbSrHf at its relaxed geometry. Source: OQMD via LeMat-Bulk, functional PBE.

Unit cell a=5.886 b=5.886 c=5.886 alpha=60.00 beta=60.00 gamma=60.00
Positions (direct):
Rb: 0.000 0.000 0.000
Sr: 0.250 0.250 0.250
Hf: 0.750 0.750 0.750

Computed properties:
Distance to the lowest polymorph of the same formula (eV per atom): 0.066
Spin magnetization (μB per atom): 0.892
Uncorrected energy (eV/atom): -2.504



[6]
Crystalline RbHfTa at its relaxed geometry. Source: OQMD via LeMat-Bulk, functional PBE.

Unit cell a=4.889 b=4.889 c=4.889 alpha=60.00 beta=60.00 gamma=60.00
Positions (direct):
Rb: 0.000 0.000 0.000
Hf: 0.750 0.750 0.750
Ta: 0.250 0.250 0.250

Computed properties:
Distance to the lowest polymorph of the same formula (eV per atom): 0.667
Spin magnetization (μB per atom): 0.547
Uncorrected energy (eV/atom): -4.710